DFT (PBE with a Hubbard U) results for an optimized crystal structure of Ca2TiWO6.

ρ: 5568 kg/m³
volume: 12.16 Å³/atom
excess energy over the best structure of this formula in the dataset: 22 meV/atom
space-group type: C2/m (12)
size of the total moment: 2.000 μB per cell

```
Ca2TiWO6
1.0
-4.937 2.036 -1.613
-4.366 -3.403 -0.695
-4.375 0.137 3.539
Ca Ti W O
2 1 1 6
direct
0.252 0.252 0.247
0.753 0.753 0.783
0.502 0.502 0.515
0.002 0.002 0.015
0.258 0.258 0.663
0.747 0.747 0.368
0.200 0.694 0.811
0.694 0.200 0.811
0.311 0.805 0.219
0.805 0.311 0.219
```